Density functional theory data (PBE) for an optimized crystal structure of LiLa2RhO.

Unit cell a=5.023 b=5.023 c=3.887 alpha=90.00 beta=90.00 gamma=90.00
Fractional positions:
Li1 0.000 0.000 0.500
Rh1 0.500 0.500 0.500
O1 0.000 0.000 0.000
La1 0.000 0.500 0.000
La2 0.500 0.000 0.000


Density functional theory data (PBE) for an optimized crystal structure of LiLaRh2O.

Unit cell a=4.300 b=4.621 c=4.300 alpha=90.00 beta=90.00 gamma=90.00
Fractional positions:
Li1 0.500 0.500 0.500
Rh1 0.000 0.000 0.500
Rh2 0.500 0.000 0.000
O1 0.000 0.000 0.000
La1 0.000 0.500 0.000


no.,uncorrected formation energy (eV per atom),density of states at the Fermi level (states/eV/f.u.),uncorrected energy (eV for the cell shown)
1,-1.426,2.76,-31.2
2,-0.630,4.07,-29.7